A geometry-optimized NiHgAu2 structure. Source: the Alexandria database, functional PBE-GGA.

## Properties
Total magnetic moment (Bohr magnetons per cell): 0.00
VASP energy (eV/atom): -3.0034
D(E_F) (states/eV per atom): 0.50
E_form (eV/atom): 0.156
Calculated volume (Å³ per cell): 69.2

```
4
Lattice="4.9987 0.0318 -0.0040 4.0818 2.8856 -0.0040 1.1646 0.3742 4.8393" Properties=species:S:1:pos:R:3 pbc="T T T"
Au 8.9430 2.8732 0.0412
Au 7.6706 2.4644 3.6708
Hg 5.2440 1.6848 2.3220
Ni 2.5905 0.8323 1.2047
```

A geometry-optimized NiHg2Au structure. Source: the Alexandria database, functional PBE-GGA.

## Properties
Total magnetic moment (Bohr magnetons per cell): 0.00
VASP energy (eV/atom): -2.1893
D(E_F) (states/eV per atom): 0.63
E_form (eV/atom): 0.226
Calculated volume (Å³ per cell): 72.7

```
4
Lattice="-0.8395 -4.0930 0.4984 2.0335 0.0315 3.6837 -3.5021 0.9528 1.9251" Properties=species:S:1:pos:R:3 pbc="T T T"
Ni -1.1541 -1.5544 3.0536
Hg -0.4198 -2.0465 0.2492
Hg 1.0167 0.0157 1.8418
Au -1.7511 0.4764 0.9626
```

Question: Which formula does entry 2 have?
Answer: NiHg2Au

Question: D(E_F) of number 1 (NiHgAu2)?
Answer: 0.50 states/eV per atom

Question: Which formula does entry 1 have?
Answer: NiHgAu2